Hg2WAu: optimized geometry, PBE-GGA.

Summary:
offset from the most stable computed form	0.241	eV per atom
space group	P4/mmm, No. 123
total magnetic moment	0.00	μB per cell
energy of formation from the pure elements	70.05	kJ/mol of atoms

```
Hg2WAu
1.0
4.265 0.000 0.000
0.000 4.265 0.000
0.000 0.000 4.175
Hg W Au
2 1 1
direct
0.000 0.500 0.000
0.500 0.000 0.000
0.000 0.000 0.500
0.500 0.500 0.500
```